Arrangement one

DFT (PBE-GGA) results for a relaxed structure of Mg5Mo.

Geometry as CIF:
```
data_Mg5Mo
_chemical_formula_sum 'Mg10 Mo2'
_symmetry_space_group_name_H-M 'C 1 m 1'
_symmetry_Int_Tables_number 8
_symmetry_space_group_name_Hall 'C -2y'
_cell_length_a 11.289
_cell_length_b 2.971
_cell_length_c 7.464
_cell_angle_alpha 90.00
_cell_angle_beta 104.79
_cell_angle_gamma 90.00
loop_
_atom_site_label
_atom_site_type_symbol
_atom_site_fract_x
_atom_site_fract_y
_atom_site_fract_z
Mg1 Mg 0.000 0.000 0.000
Mg2 Mg 0.061 0.000 0.637
Mg3 Mg 0.177 0.500 0.361
Mg4 Mg 0.239 0.500 0.946
Mg5 Mg 0.396 0.000 0.313
Mo1 Mo 0.338 0.000 0.674
```

=====

Arrangement two

DFT (PBE-GGA) results for a relaxed structure of Mg5Mo.

Geometry as CIF:
```
data_Mg5Mo
_chemical_formula_sum 'Mg5 Mo1'
_symmetry_space_group_name_H-M 'P 6/m m m'
_symmetry_Int_Tables_number 191
_symmetry_space_group_name_Hall '-P 6 2'
_cell_length_a 5.6320
_cell_length_b 5.6320
_cell_length_c 4.9850
_cell_angle_alpha 90.00
_cell_angle_beta 90.00
_cell_angle_gamma 120.00
loop_
_atom_site_label
_atom_site_type_symbol
_atom_site_fract_x
_atom_site_fract_y
_atom_site_fract_z
Mg1 Mg 0.0000 0.5000 0.0000
Mg2 Mg 0.3333 0.6667 0.5000
Mo1 Mo 0.0000 0.0000 0.5000
```

=====

Arrangement three

DFT (PBE-GGA) results for a relaxed structure of Mg5Mo.

Geometry as CIF:
```
data_Mg5Mo
_chemical_formula_sum 'Mg5 Mo1'
_symmetry_space_group_name_H-M 'P 4/m m m'
_symmetry_Int_Tables_number 123
_symmetry_space_group_name_Hall '-P 4 2'
_cell_length_a 2.936
_cell_length_b 2.936
_cell_length_c 14.124
_cell_angle_alpha 90.00
_cell_angle_beta 90.00
_cell_angle_gamma 90.00
loop_
_atom_site_label
_atom_site_type_symbol
_atom_site_fract_x
_atom_site_fract_y
_atom_site_fract_z
Mg1 Mg 0.000 0.000 0.000
Mg2 Mg 0.000 0.000 0.351
Mg3 Mg 0.500 0.500 0.172
Mo1 Mo 0.500 0.500 0.500
```

=====

Arrangement four

DFT (PBE-GGA) results for a relaxed structure of Mg5Mo.

Geometry as CIF:
```
data_Mg5Mo
_chemical_formula_sum 'Mg5 Mo1'
_symmetry_space_group_name_H-M 'P -6 2 m'
_symmetry_Int_Tables_number 189
_symmetry_space_group_name_Hall 'P -6 -2'
_cell_length_a 5.3733
_cell_length_b 5.3733
_cell_length_c 4.9053
_cell_angle_alpha 90.00
_cell_angle_beta 90.00
_cell_angle_gamma 120.00
loop_
_atom_site_label
_atom_site_type_symbol
_atom_site_fract_x
_atom_site_fract_y
_atom_site_fract_z
Mg1 Mg 0.0000 0.6838 0.0000
Mg2 Mg 0.3333 0.6667 0.5000
Mo1 Mo 0.0000 0.0000 0.5000
```

=====

Which structure is most stable? arrangement three, by 0.019 eV/atom over the runner-up.

=====

Arrangement one

DFT (PBE-GGA) results for a relaxed structure of Mg5Mo.

Geometry as CIF:
```
data_Mg5Mo
_chemical_formula_sum 'Mg20 Mo4'
_symmetry_space_group_name_H-M 'F -4 3 m'
_symmetry_Int_Tables_number 216
_symmetry_space_group_name_Hall 'F -4 2 3'
_cell_length_a 7.994
_cell_length_b 7.994
_cell_length_c 7.994
_cell_angle_alpha 90.00
_cell_angle_beta 90.00
_cell_angle_gamma 90.00
loop_
_atom_site_label
_atom_site_type_symbol
_atom_site_fract_x
_atom_site_fract_y
_atom_site_fract_z
Mg1 Mg 0.000 0.000 0.000
Mg2 Mg 0.124 0.124 0.376
Mo1 Mo 0.250 0.250 0.750
```

=====

Arrangement two

DFT (PBE-GGA) results for a relaxed structure of Mg5Mo.

Geometry as CIF:
```
data_Mg5Mo
_chemical_formula_sum 'Mg10 Mo2'
_symmetry_space_group_name_H-M 'A m m 2'
_symmetry_Int_Tables_number 38
_symmetry_space_group_name_Hall 'A 2 -2'
_cell_length_a 4.962
_cell_length_b 3.000
_cell_length_c 16.341
_cell_angle_alpha 90.00
_cell_angle_beta 90.00
_cell_angle_gamma 90.00
loop_
_atom_site_label
_atom_site_type_symbol
_atom_site_fract_x
_atom_site_fract_y
_atom_site_fract_z
Mg1 Mg 0.000 0.000 0.000
Mg2 Mg 0.000 0.000 0.311
Mg3 Mg 0.500 0.000 0.103
Mg4 Mg 0.500 0.000 0.428
Mg5 Mg 0.500 0.000 0.754
Mo1 Mo 0.000 0.000 0.656
```

=====

Which structure is most stable? arrangement two, by 0.234 eV/atom over the runner-up.

=====

Arrangement one

DFT (PBE-GGA) results for a relaxed structure of MgMo3.

Geometry as CIF:
```
data_MgMo3
_chemical_formula_sum 'Mg3 Mo9'
_symmetry_space_group_name_H-M 'R -3 m'
_symmetry_Int_Tables_number 166
_symmetry_space_group_name_Hall '-R 3 2"'
_cell_length_a 2.8083
_cell_length_b 2.8083
_cell_length_c 29.3051
_cell_angle_alpha 90.00
_cell_angle_beta 90.00
_cell_angle_gamma 120.00
loop_
_atom_site_label
_atom_site_type_symbol
_atom_site_fract_x
_atom_site_fract_y
_atom_site_fract_z
Mg1 Mg 0.0000 0.0000 0.0000
Mo1 Mo 0.0000 0.0000 0.2478
Mo2 Mo 0.0000 0.0000 0.5000
```

=====

Arrangement two

DFT (PBE-GGA) results for a relaxed structure of MgMo3.

Geometry as CIF:
```
data_MgMo3
_chemical_formula_sum 'Mg2 Mo6'
_symmetry_space_group_name_H-M 'P m m n'
_symmetry_Int_Tables_number 59
_cell_length_a 5.430
_cell_length_b 9.061
_cell_length_c 2.674
_cell_angle_alpha 90.00
_cell_angle_beta 90.00
_cell_angle_gamma 90.00
loop_
_symmetry_equiv_pos_as_xyz
'x,y,z'
'-x,-y,-z'
'-x+1/2,-y+1/2,z'
'x+1/2,y+1/2,-z'
'x+1/2,-y,-z'
'-x+1/2,y,z'
'-x,y+1/2,-z'
'x,-y+1/2,z'
loop_
_atom_site_label
_atom_site_type_symbol
_atom_site_fract_x
_atom_site_fract_y
_atom_site_fract_z
Mg1 Mg 0.250 0.250 0.069
Mo1 Mo 0.000 0.000 0.500
Mo2 Mo 0.250 0.750 0.184
```

=====

Which structure is most stable? arrangement two, by 0.078 eV/atom over the runner-up.

=====

Arrangement one

DFT (PBE-GGA) results for a relaxed structure of MgMo3.

Geometry as CIF:
```
data_MgMo3
_chemical_formula_sum 'Mg1 Mo3'
_symmetry_space_group_name_H-M 'P 4/m m m'
_symmetry_Int_Tables_number 123
_symmetry_space_group_name_Hall '-P 4 2'
_cell_length_a 3.161
_cell_length_b 3.161
_cell_length_c 6.716
_cell_angle_alpha 90.00
_cell_angle_beta 90.00
_cell_angle_gamma 90.00
loop_
_atom_site_label
_atom_site_type_symbol
_atom_site_fract_x
_atom_site_fract_y
_atom_site_fract_z
Mg1 Mg 0.000 0.000 0.000
Mo1 Mo 0.000 0.000 0.500
Mo2 Mo 0.500 0.500 0.278
```

=====

Arrangement two

DFT (PBE-GGA) results for a relaxed structure of MgMo3.

Geometry as CIF:
```
data_MgMo3
_chemical_formula_sum 'Mg2 Mo6'
_symmetry_space_group_name_H-M 'I m m m'
_symmetry_Int_Tables_number 71
_symmetry_space_group_name_Hall '-I 2 2'
_cell_length_a 3.201
_cell_length_b 4.552
_cell_length_c 8.989
_cell_angle_alpha 90.00
_cell_angle_beta 90.00
_cell_angle_gamma 90.00
loop_
_atom_site_label
_atom_site_type_symbol
_atom_site_fract_x
_atom_site_fract_y
_atom_site_fract_z
Mg1 Mg 0.000 0.000 0.000
Mo1 Mo 0.000 0.000 0.500
Mo2 Mo 0.000 0.500 0.233
```

=====

Arrangement three

DFT (PBE-GGA) results for a relaxed structure of MgMo3.

Geometry as CIF:
```
data_MgMo3
_chemical_formula_sum 'Mg1 Mo3'
_symmetry_space_group_name_H-M 'P m m m'
_symmetry_Int_Tables_number 47
_symmetry_space_group_name_Hall '-P 2 2'
_cell_length_a 2.635
_cell_length_b 4.532
_cell_length_c 5.489
_cell_angle_alpha 90.00
_cell_angle_beta 90.00
_cell_angle_gamma 90.00
loop_
_atom_site_label
_atom_site_type_symbol
_atom_site_fract_x
_atom_site_fract_y
_atom_site_fract_z
Mg1 Mg 0.000 0.000 0.000
Mo1 Mo 0.000 0.000 0.500
Mo2 Mo 0.500 0.500 0.251
```

=====

Arrangement four

DFT (PBE-GGA) results for a relaxed structure of MgMo3.

Geometry as CIF:
```
data_MgMo3
_chemical_formula_sum 'Mg1 Mo3'
_symmetry_space_group_name_H-M 'P m -3 m'
_symmetry_Int_Tables_number 221
_symmetry_space_group_name_Hall '-P 4 2 3'
_cell_length_a 4.016
_cell_length_b 4.016
_cell_length_c 4.016
_cell_angle_alpha 90.00
_cell_angle_beta 90.00
_cell_angle_gamma 90.00
loop_
_atom_site_label
_atom_site_type_symbol
_atom_site_fract_x
_atom_site_fract_y
_atom_site_fract_z
Mg1 Mg 0.000 0.000 0.000
Mo1 Mo 0.000 0.500 0.500
```

=====

Which structure is most stable? arrangement two, by 0.057 eV/atom over the runner-up.

=====

Arrangement one

DFT (PBE-GGA) results for a relaxed structure of MgMo3.

Geometry as CIF:
```
data_MgMo3
_chemical_formula_sum 'Mg1 Mo3'
_symmetry_space_group_name_H-M 'P 1 2/m 1'
_symmetry_Int_Tables_number 10
_symmetry_space_group_name_Hall '-P 2y'
_cell_length_a 2.701
_cell_length_b 4.515
_cell_length_c 5.408
_cell_angle_alpha 90.00
_cell_angle_beta 100.24
_cell_angle_gamma 90.00
loop_
_atom_site_label
_atom_site_type_symbol
_atom_site_fract_x
_atom_site_fract_y
_atom_site_fract_z
Mg1 Mg 0.000 0.000 0.000
Mo1 Mo 0.269 0.500 0.746
Mo2 Mo 0.500 0.000 0.500
```

=====

Arrangement two

DFT (PBE-GGA) results for a relaxed structure of MgMo3.

Geometry as CIF:
```
data_MgMo3
_chemical_formula_sum 'Mg2 Mo6'
_symmetry_space_group_name_H-M 'P 63/m m c'
_symmetry_Int_Tables_number 194
_symmetry_space_group_name_Hall '-P 6c 2c'
_cell_length_a 5.7867
_cell_length_b 5.7867
_cell_length_c 4.6270
_cell_angle_alpha 90.00
_cell_angle_beta 90.00
_cell_angle_gamma 120.00
loop_
_atom_site_label
_atom_site_type_symbol
_atom_site_fract_x
_atom_site_fract_y
_atom_site_fract_z
Mg1 Mg 0.3333 0.6667 0.2500
Mo1 Mo 0.1533 0.3066 0.7500
```

=====

Arrangement three

DFT (PBE-GGA) results for a relaxed structure of MgMo3.

Geometry as CIF:
```
data_MgMo3
_chemical_formula_sum 'Mg2 Mo6'
_symmetry_space_group_name_H-M 'I m m 2'
_symmetry_Int_Tables_number 44
_symmetry_space_group_name_Hall 'I 2 -2'
_cell_length_a 2.632
_cell_length_b 9.457
_cell_length_c 5.291
_cell_angle_alpha 90.00
_cell_angle_beta 90.00
_cell_angle_gamma 90.00
loop_
_atom_site_label
_atom_site_type_symbol
_atom_site_fract_x
_atom_site_fract_y
_atom_site_fract_z
Mg1 Mg 0.000 0.000 0.000
Mo1 Mo 0.000 0.251 0.717
Mo2 Mo 0.000 0.500 0.992
```

=====

Which structure is most stable? arrangement one, by 0.141 eV/atom over the runner-up.

=====

Arrangement one

DFT (PBE-GGA) results for a relaxed structure of MgMo3.

Geometry as CIF:
```
data_MgMo3
_chemical_formula_sum 'Mg2 Mo6'
_symmetry_space_group_name_H-M 'C 1 2/m 1'
_symmetry_Int_Tables_number 12
_symmetry_space_group_name_Hall '-C 2y'
_cell_length_a 9.377
_cell_length_b 2.642
_cell_length_c 5.302
_cell_angle_alpha 90.00
_cell_angle_beta 91.51
_cell_angle_gamma 90.00
loop_
_atom_site_label
_atom_site_type_symbol
_atom_site_fract_x
_atom_site_fract_y
_atom_site_fract_z
Mg1 Mg 0.000 0.000 0.000
Mo1 Mo 0.000 0.500 0.500
Mo2 Mo 0.246 0.500 0.247
```

=====

Arrangement two

DFT (PBE-GGA) results for a relaxed structure of MgMo3.

Geometry as CIF:
```
data_MgMo3
_chemical_formula_sum 'Mg2 Mo6'
_symmetry_space_group_name_H-M 'C m m m'
_symmetry_Int_Tables_number 65
_symmetry_space_group_name_Hall '-C 2 2'
_cell_length_a 3.200
_cell_length_b 4.482
_cell_length_c 9.204
_cell_angle_alpha 90.00
_cell_angle_beta 90.00
_cell_angle_gamma 90.00
loop_
_atom_site_label
_atom_site_type_symbol
_atom_site_fract_x
_atom_site_fract_y
_atom_site_fract_z
Mg1 Mg 0.000 0.000 0.000
Mo1 Mo 0.000 0.000 0.500
Mo2 Mo 0.000 0.500 0.262
```

=====

Arrangement three

DFT (PBE-GGA) results for a relaxed structure of MgMo3.

Geometry as CIF:
```
data_MgMo3
_chemical_formula_sum 'Mg1 Mo3'
_symmetry_space_group_name_H-M 'P -6 m 2'
_symmetry_Int_Tables_number 187
_symmetry_space_group_name_Hall 'P -6 2'
_cell_length_a 2.7998
_cell_length_b 2.7998
_cell_length_c 9.8105
_cell_angle_alpha 90.00
_cell_angle_beta 90.00
_cell_angle_gamma 120.00
loop_
_atom_site_label
_atom_site_type_symbol
_atom_site_fract_x
_atom_site_fract_y
_atom_site_fract_z
Mg1 Mg 0.0000 0.0000 0.0000
Mo1 Mo 0.0000 0.0000 0.5000
Mo2 Mo 0.6667 0.3333 0.2559
```

=====

Arrangement four

DFT (PBE-GGA) results for a relaxed structure of MgMo3.

Geometry as CIF:
```
data_MgMo3
_chemical_formula_sum 'Mg2 Mo6'
_symmetry_space_group_name_H-M 'P m -3 n'
_symmetry_Int_Tables_number 223
_symmetry_space_group_name_Hall '-P 4n 2 3'
_cell_length_a 5.043
_cell_length_b 5.043
_cell_length_c 5.043
_cell_angle_alpha 90.00
_cell_angle_beta 90.00
_cell_angle_gamma 90.00
loop_
_atom_site_label
_atom_site_type_symbol
_atom_site_fract_x
_atom_site_fract_y
_atom_site_fract_z
Mg1 Mg 0.000 0.000 0.000
Mo1 Mo 0.000 0.250 0.500
```

=====

Which structure is most stable? arrangement two, by 0.074 eV/atom over the runner-up.